Below is a relaxed structure of Mg2MoCl, with properties calculated at the GGA-PBE level.

Cell lengths 5.8427, 5.8427, 5.8427 Å; angles 140.08, 140.08, 57.73 degrees
Atoms (fractional coordinates):
Mg: 0.0000 0.0000 0.0000
Mg: 0.2500 0.7500 0.5000
Cl: 0.7500 0.2500 0.5000
Mo: 0.5000 0.5000 0.0000

Summary:
For the excess energy over the best structure of this formula in the dataset, the calculation gives 2.66 eV per formula unit. For the total moment, the calculation gives 2.7 μB/cell.



Below is a relaxed structure of MgMo4Cl, with properties calculated at the GGA-PBE level.

Cell lengths 5.3466, 5.3466, 5.3466 Å; angles 60.00, 60.00, 60.00 degrees
Atoms (fractional coordinates):
Mo: 0.3786 0.8642 0.3786
Mo: 0.8642 0.3786 0.3786
Mo: 0.3786 0.3786 0.3786
Mo: 0.3786 0.3786 0.8642
Mg: 0.0000 0.0000 0.0000
Cl: 0.7500 0.7500 0.7500

Summary:
For the total moment, the calculation gives 0.0 μB/cell.



Below is a relaxed structure of Mg2MoCl, with properties calculated at the GGA-PBE level.

Cell lengths 3.0624, 5.1231, 5.1231 Å; angles 90.00, 90.00, 90.00 degrees
Atoms (fractional coordinates):
Mo: 0.5000 0.5000 0.0000
Cl: 0.5000 0.0000 0.5000
Mg: 0.0000 0.5000 0.5000
Mg: 0.0000 0.0000 0.0000

Summary:
For the excess energy over the best structure of this formula in the dataset, the calculation gives 1.85 eV per formula unit. For the total moment, the calculation gives 2.4 μB/cell.



Below is a relaxed structure of MgMoCl2, with properties calculated at the GGA-PBE level.

Cell lengths 5.3660, 5.4984, 3.3660 Å; angles 94.25, 69.41, 122.38 degrees
Atoms (fractional coordinates):
Mg: 0.5000 0.5000 0.0000
Cl: 0.0000 0.0000 0.0000
Cl: 0.0000 0.5000 0.5000
Mo: 0.5000 0.0000 0.5000

Summary:
For the excess energy over the best structure of this formula in the dataset, the calculation gives 1.66 eV per formula unit. For the total moment, the calculation gives 2.4 μB/cell.



Below is a relaxed structure of MgMoCl2, with properties calculated at the GGA-PBE level.

Cell lengths 4.6167, 4.6167, 3.8773 Å; angles 90.00, 90.00, 90.00 degrees
Atoms (fractional coordinates):
Mo: 0.0000 0.5000 0.5000
Cl: 0.5000 0.5000 0.0000
Cl: 0.0000 0.0000 0.0000
Mg: 0.5000 0.0000 0.5000

Summary:
For the excess energy over the best structure of this formula in the dataset, the calculation gives 2.70 eV per formula unit. For the total moment, the calculation gives 4.2 μB/cell.



Below is a relaxed structure of MgMoCl2, with properties calculated at the GGA-PBE level.

Cell lengths 4.5838, 4.5838, 4.5838 Å; angles 60.00, 60.00, 60.00 degrees
Atoms (fractional coordinates):
Mg: 0.0000 0.0000 0.0000
Cl: 0.2500 0.2500 0.2500
Cl: 0.7500 0.7500 0.7500
Mo: 0.5000 0.5000 0.5000

Summary:
For the excess energy over the best structure of this formula in the dataset, the calculation gives 2.57 eV per formula unit. For the total moment, the calculation gives 1.6 μB/cell.



Below is a relaxed structure of Mg2MoCl, with properties calculated at the GGA-PBE level.

Cell lengths 5.5318, 5.5318, 5.0794 Å; angles 62.84, 62.84, 31.72 degrees
Atoms (fractional coordinates):
Mg: 0.9810 0.9810 0.0187
Mg: 0.5190 0.5190 0.4813
Cl: 0.2500 0.2500 0.2500
Mo: 0.7500 0.7500 0.7500

Summary:
For the excess energy over the best structure of this formula in the dataset, the calculation gives 2.29 eV per formula unit. For the total moment, the calculation gives 0.0 μB/cell.



Below is a relaxed structure of MgMoCl2, with properties calculated at the GGA-PBE level.

Cell lengths 3.2334, 3.5025, 7.9042 Å; angles 77.20, 90.00, 90.00 degrees
Atoms (fractional coordinates):
Cl: 0.5000 0.1348 0.3567
Cl: 0.0000 0.8460 0.9333
Mo: 0.5000 0.9613 0.7018
Mg: 0.0000 0.5579 0.5082

Summary:
For the excess energy over the best structure of this formula in the dataset, the calculation gives 0.07 eV per formula unit. For the total moment, the calculation gives 0.8 μB/cell.



Number 1: E_form (uncorrected) 0.44 eV/atom, DOS(E_F) 0.554 states/eV/atom. Number 2: E_form (uncorrected) 0.79 eV/atom, DOS(E_F) 0.710 states/eV/atom. Number 3: E_form (uncorrected) 0.24 eV/atom, DOS(E_F) 0.659 states/eV/atom. Number 4: E_form (uncorrected) 0.03 eV/atom, DOS(E_F) 0.516 states/eV/atom. Number 5: E_form (uncorrected) 0.29 eV/atom, DOS(E_F) 0.410 states/eV/atom. Number 6: E_form (uncorrected) 0.26 eV/atom, DOS(E_F) 0.838 states/eV/atom. Number 7: E_form (uncorrected) 0.35 eV/atom, DOS(E_F) 0.885 states/eV/atom. Number 8: E_form (uncorrected) -0.36 eV/atom, DOS(E_F) 0.505 states/eV/atom.